Computed, not measured: a relaxed CoSbRu crystal at the GGA-PBE level of DFT.

a b c (Å): 4.898 4.898 4.898
angles (deg): 140.94 140.94 56.42
Fractional coordinates of all 3 atoms:
Co1 0.000 0.000 0.000
Sb1 0.340 0.340 0.000
Ru1 0.670 0.670 0.000

Results
Its crystal system is tetragonal. The value obtained for the formation energy from raw total energies is 0.258 eV/atom. Its size of the total moment is 2.42 μB per formula unit.

=====

Computed, not measured: a relaxed Y2CuPd2 crystal at the GGA-PBE level of DFT.

a b c (Å): 7.852 7.852 3.611
angles (deg): 90.00 90.00 90.00
Fractional coordinates of all 10 atoms:
Y1 0.167 0.333 0.000
Y2 0.333 0.833 0.000
Y3 0.667 0.167 0.000
Y4 0.833 0.667 0.000
Cu1 0.000 0.000 0.000
Cu2 0.500 0.500 0.000
Pd1 0.129 0.629 0.500
Pd2 0.371 0.129 0.500
Pd3 0.629 0.871 0.500
Pd4 0.871 0.371 0.500

Results
Its crystal system is tetragonal. As for the calculated total energy: -5.88 eV per atom. Its size of the total moment is 0.00 μB per formula unit.

=====

Computed, not measured: a relaxed NaCa2Ni2 crystal at the GGA-PBE level of DFT.

a b c (Å): 8.293 8.293 3.264
angles (deg): 90.00 90.00 90.00
Fractional coordinates of all 10 atoms:
Na1 0.000 0.000 0.000
Na2 0.500 0.500 0.000
Ca1 0.145 0.355 0.000
Ca2 0.355 0.855 0.000
Ca3 0.645 0.145 0.000
Ca4 0.855 0.645 0.000
Ni1 0.148 0.648 0.500
Ni2 0.352 0.148 0.500
Ni3 0.648 0.852 0.500
Ni4 0.852 0.352 0.500

Results
Its crystal system is tetragonal. As for the calculated total energy: -3.19 eV per atom. Its size of the total moment is 0.00 μB per formula unit.